No. 1
Entry from the Alexandria database: a PBEsol-optimized structure of SrCd2Co (meta-GGA SCAN).

```
SrCd2Co
1.0
4.274 0.000 0.000
0.000 4.274 0.000
0.000 0.000 4.808
Sr Cd Co
1 2 1
direct
0.000 0.000 0.000
0.000 0.500 0.500
0.500 0.000 0.500
0.500 0.500 0.000
```

Properties
Total magnetic moment   1.35 Bohr magnetons per cell
Mass density   7.023 g/cm³
Formation enthalpy at 0 K   0.31 eV/atom



No. 2
Entry from the Alexandria database: a PBEsol-optimized structure of Sr2CdCo (meta-GGA SCAN).

```
Sr2CdCo
1.0
3.536 -1.920 0.000
3.536 1.920 0.000
-2.036 0.000 8.843
Sr Cd Co
2 1 1
direct
0.236 0.236 0.205
0.764 0.764 0.795
0.000 0.000 0.500
0.500 0.500 0.000
```

Properties
Total magnetic moment   1.11 Bohr magnetons per cell
Mass density   4.793 g/cm³
Formation enthalpy at 0 K   0.35 eV/atom



No. 3
Entry from the Alexandria database: a PBEsol-optimized structure of SrCd2Co (meta-GGA SCAN).

```
SrCd2Co
1.0
5.886 -1.580 0.000
5.886 1.580 0.000
-2.091 0.000 4.518
Sr Cd Co
1 2 1
direct
0.000 0.000 0.000
0.200 0.200 0.700
0.800 0.800 0.300
0.500 0.500 0.500
```

Properties
Total magnetic moment   1.41 Bohr magnetons per cell
Mass density   7.336 g/cm³
Formation enthalpy at 0 K   0.18 eV/atom



No. 4
Entry from the Alexandria database: a PBEsol-optimized structure of Sr2CdCo (meta-GGA SCAN).

```
Sr2CdCo
1.0
3.622 0.000 0.000
0.000 3.622 0.000
0.000 0.000 8.641
Sr Cd Co
2 1 1
direct
0.000 0.000 0.000
0.500 0.500 0.403
0.000 0.000 0.650
0.500 0.500 0.756
```

Properties
Total magnetic moment   1.63 Bohr magnetons per cell
Mass density   5.077 g/cm³
Formation enthalpy at 0 K   0.14 eV/atom



No. 5
Entry from the Alexandria database: a PBEsol-optimized structure of Sr2CdCo (meta-GGA SCAN).

```
Sr2CdCo
1.0
3.677 0.000 0.000
0.000 3.677 0.000
0.000 0.000 7.819
Sr Cd Co
2 1 1
direct
0.000 0.000 0.219
0.000 0.000 0.781
0.500 0.500 0.500
0.500 0.500 0.000
```

Properties
Total magnetic moment   0.79 Bohr magnetons per cell
Mass density   5.444 g/cm³
Formation enthalpy at 0 K   0.12 eV/atom



No. 6
Entry from the Alexandria database: a PBEsol-optimized structure of SrCdCo2Te (meta-GGA SCAN).

```
SrCdCo2Te
1.0
4.777 0.000 0.000
0.000 4.777 0.000
0.000 0.000 5.851
Sr Cd Co Te
1 1 2 1
direct
0.000 0.000 0.000
0.000 0.000 0.500
0.000 0.500 0.500
0.500 0.000 0.500
0.500 0.500 0.000
```

Properties
Total magnetic moment   4.17 Bohr magnetons per cell
Formation energy without anion corrections   214 kJ/mol of formula units
Mass density   5.541 g/cm³